1.
VASP calculation (GGA-PBEsol) on a relaxed HfTiI2N crystal.

Unit cell a=3.9190 b=5.7199 c=5.7199 alpha=90.00 beta=90.00 gamma=90.00
Positions (direct):
I  0.0000  0.5000  0.0000
Ti  0.5000  0.5000  0.5000
N  0.5000  0.0000  0.0000
I  0.0000  0.0000  0.5000
Hf  0.0000  0.0000  0.0000

## Properties
DOS at the Fermi energy ... 5.9 states/eV/f.u.
Symmetry ... No. 123
E_form (uncorrected) ... 0.144 eV per atom

2.
VASP calculation (GGA-PBEsol) on a relaxed HfTlIN2 crystal.

Unit cell a=4.2652 b=4.2652 c=5.6611 alpha=90.00 beta=90.00 gamma=90.00
Positions (direct):
Tl  0.0000  0.0000  0.0000
N  0.5000  0.0000  0.0000
I  0.0000  0.0000  0.5000
N  0.0000  0.5000  0.0000
Hf  0.5000  0.5000  0.5000

## Properties
DOS at the Fermi energy ... 3.6 states/eV/f.u.
Symmetry ... No. 123
E_form (uncorrected) ... 1.841 eV per atom

3.
VASP calculation (GGA-PBEsol) on a relaxed Na3HfI crystal.

Unit cell a=5.7821 b=5.7821 c=5.7821 alpha=90.00 beta=90.00 gamma=90.00
Positions (direct):
Na  0.0000  0.5000  0.0000
Na  0.0000  0.0000  0.5000
Na  0.5000  0.0000  0.0000
Hf  0.5000  0.5000  0.5000
I  0.0000  0.0000  0.0000

## Properties
DOS at the Fermi energy ... 9.0 states/eV/f.u.
Symmetry ... No. 221
E_form (uncorrected) ... 0.707 eV per atom

4.
VASP calculation (GGA-PBEsol) on a relaxed Na2HfIO crystal.

Unit cell a=3.9319 b=6.3604 c=6.3604 alpha=90.00 beta=90.00 gamma=90.00
Positions (direct):
O  0.5000  0.0000  0.0000
Hf  0.0000  0.0000  0.0000
I  0.5000  0.5000  0.5000
Na  0.0000  0.5000  0.0000
Na  0.0000  0.0000  0.5000

## Properties
DOS at the Fermi energy ... 2.0 states/eV/f.u.
Symmetry ... No. 123
E_form (uncorrected) ... -0.714 eV per atom

5.
VASP calculation (GGA-PBEsol) on a relaxed NaHf2RhI crystal.

Unit cell a=4.8960 b=5.1410 c=5.1410 alpha=90.00 beta=90.00 gamma=90.00
Positions (direct):
Hf  0.0000  0.0000  0.5000
Hf  0.0000  0.5000  0.0000
Rh  0.5000  0.5000  0.5000
I  0.0000  0.0000  0.0000
Na  0.5000  0.0000  0.0000

## Properties
DOS at the Fermi energy ... 6.0 states/eV/f.u.
Symmetry ... No. 123
E_form (uncorrected) ... 1.414 eV per atom

6.
VASP calculation (GGA-PBEsol) on a relaxed HfNbTe2I crystal.

Unit cell a=5.4064 b=5.4903 c=5.4903 alpha=90.00 beta=90.00 gamma=90.00
Positions (direct):
Te  0.0000  0.0000  0.5000
Nb  0.5000  0.5000  0.5000
I  0.5000  0.0000  0.0000
Hf  0.0000  0.0000  0.0000
Te  0.0000  0.5000  0.0000

## Properties
DOS at the Fermi energy ... 6.3 states/eV/f.u.
Symmetry ... No. 123
E_form (uncorrected) ... 0.654 eV per atom

7.
VASP calculation (GGA-PBEsol) on a relaxed Hf3NiI crystal.

Unit cell a=5.0685 b=5.0685 c=5.0685 alpha=90.00 beta=90.00 gamma=90.00
Positions (direct):
I  0.0000  0.0000  0.0000
Hf  0.5000  0.0000  0.0000
Hf  0.0000  0.0000  0.5000
Ni  0.5000  0.5000  0.5000
Hf  0.0000  0.5000  0.0000

## Properties
DOS at the Fermi energy ... 5.8 states/eV/f.u.
Symmetry ... No. 221
E_form (uncorrected) ... 1.623 eV per atom

8.
VASP calculation (GGA-PBEsol) on a relaxed HfP2IO crystal.

Unit cell a=3.8522 b=5.0010 c=5.0010 alpha=90.00 beta=90.00 gamma=90.00
Positions (direct):
Hf  0.5000  0.5000  0.5000
O  0.5000  0.0000  0.0000
P  0.0000  0.5000  0.0000
P  0.0000  0.0000  0.5000
I  0.0000  0.0000  0.0000

## Properties
DOS at the Fermi energy ... 2.3 states/eV/f.u.
Symmetry ... No. 123
E_form (uncorrected) ... 0.600 eV per atom

9.
VASP calculation (GGA-PBEsol) on a relaxed RbHfIO2 crystal.

Unit cell a=4.3919 b=4.3919 c=5.9011 alpha=90.00 beta=90.00 gamma=90.00
Positions (direct):
I  0.0000  0.0000  0.5000
Rb  0.0000  0.0000  0.0000
Hf  0.5000  0.5000  0.5000
O  0.0000  0.5000  0.0000
O  0.5000  0.0000  0.0000

## Properties
DOS at the Fermi energy ... 3.6 states/eV/f.u.
Symmetry ... No. 123
E_form (uncorrected) ... 0.896 eV per atom

10.
VASP calculation (GGA-PBEsol) on a relaxed HfSbIO2 crystal.

Unit cell a=4.1492 b=4.1492 c=5.9338 alpha=90.00 beta=90.00 gamma=90.00
Positions (direct):
I  0.0000  0.0000  0.5000
O  0.5000  0.0000  0.0000
Hf  0.0000  0.0000  0.0000
O  0.0000  0.5000  0.0000
Sb  0.5000  0.5000  0.5000

## Properties
DOS at the Fermi energy ... 1.6 states/eV/f.u.
Symmetry ... No. 123
E_form (uncorrected) ... -1.191 eV per atom

11.
VASP calculation (GGA-PBEsol) on a relaxed HfSeI2O crystal.

Unit cell a=3.9179 b=5.7194 c=5.7194 alpha=90.00 beta=90.00 gamma=90.00
Positions (direct):
O  0.5000  0.0000  0.0000
I  0.0000  0.0000  0.5000
Hf  0.0000  0.0000  0.0000
I  0.0000  0.5000  0.0000
Se  0.5000  0.5000  0.5000

## Properties
DOS at the Fermi energy ... 4.5 states/eV/f.u.
Symmetry ... No. 123
E_form (uncorrected) ... -0.823 eV per atom

12.
VASP calculation (GGA-PBEsol) on a relaxed HfTe2IO crystal.

Unit cell a=3.8951 b=5.7321 c=5.7321 alpha=90.00 beta=90.00 gamma=90.00
Positions (direct):
O  0.5000  0.0000  0.0000
Hf  0.5000  0.5000  0.5000
Te  0.0000  0.5000  0.0000
Te  0.0000  0.0000  0.5000
I  0.0000  0.0000  0.0000

## Properties
DOS at the Fermi energy ... 4.3 states/eV/f.u.
Symmetry ... No. 123
E_form (uncorrected) ... 0.508 eV per atom